Record 1
# RbAs3P

A relaxed RbAs3P crystal (PBE-GGA, the Alexandria database).

Properties
As for the crystal system: monoclinic. As for the energy above the most stable polymorph in this dataset: 0.00 eV/f.u. As for the calculated formation energy: -164 meV per atom. Its density is 3.5 g/cm³.

Cell lengths 6.9063, 7.0659, 7.1063 Å; angles 90.00, 108.94, 90.00 degrees
Fractional coordinates of all 10 atoms:
Rb1 0.2144 0.2500 0.4819
Rb2 0.7856 0.7500 0.5181
As1 0.1592 0.0032 0.9272
As2 0.1592 0.4968 0.9272
As3 0.4339 0.2500 0.0985
As4 0.5661 0.7500 0.9015
As5 0.8408 0.5032 0.0728
As6 0.8408 0.9968 0.0728
P1 0.3539 0.7500 0.1055
P2 0.6461 0.2500 0.8945

---

Record 2
# TlZn6O6

A relaxed TlZn6O6 crystal (PBE-GGA, the Alexandria database).

Properties
The calculation puts the energy relative to the elements, uncorrected at -1.151 eV/atom. As for the crystal system: cubic. Its density is 6.0 g/cm³.

Cell lengths 5.7745, 5.7745, 5.7745 Å; angles 90.00, 90.00, 90.00 degrees
Fractional coordinates of all 13 atoms:
Tl1 0.0000 0.0000 0.0000
Zn1 0.0000 0.2541 0.5000
Zn2 0.0000 0.7459 0.5000
Zn3 0.2541 0.5000 0.0000
Zn4 0.5000 0.0000 0.2541
Zn5 0.5000 0.0000 0.7459
Zn6 0.7459 0.5000 0.0000
O1 0.0000 0.5000 0.2485
O2 0.0000 0.5000 0.7515
O3 0.2485 0.0000 0.5000
O4 0.5000 0.2485 0.0000
O5 0.5000 0.7515 0.0000
O6 0.7515 0.0000 0.5000

---

Record 3
# Al4AsAu

A relaxed Al4AsAu crystal (PBE-GGA, the Alexandria database).

Properties
As for the crystal system: cubic. As for the calculated formation energy: 222 meV per atom. Its density is 5.8 g/cm³.

Cell lengths 5.3560, 5.3560, 5.3560 Å; angles 60.00, 60.00, 60.00 degrees
Fractional coordinates of all 6 atoms:
Al1 0.1254 0.1254 0.1254
Al2 0.1254 0.1254 0.6239
Al3 0.1254 0.6239 0.1254
Al4 0.6239 0.1254 0.1254
As1 0.7500 0.7500 0.7500
Au1 0.5000 0.5000 0.5000

---

Record 4
# BaY

A relaxed BaY crystal (PBE-GGA, the Alexandria database).

Properties
As for the crystal system: cubic. As for the energy above the most stable polymorph in this dataset: 1.36 eV/f.u. As for the calculated formation energy: 838 meV per atom. Its density is 4.1 g/cm³.

Cell lengths 5.0526, 5.0526, 5.0526 Å; angles 60.00, 60.00, 60.00 degrees
Fractional coordinates of all 2 atoms:
Ba1 0.0000 0.0000 0.0000
Y1 0.5000 0.5000 0.5000

---

Record 5
# TaNi6Rh2

A relaxed TaNi6Rh2 crystal (PBE-GGA, the Alexandria database).

Properties
As for the crystal system: monoclinic. As for the calculated formation energy: -67 meV per atom. Its density is 10.9 g/cm³.

Cell lengths 4.8912, 4.8912, 9.5714 Å; angles 96.30, 96.30, 93.70 degrees
Fractional coordinates of all 18 atoms:
Ta1 0.0096 0.9904 0.7500
Ta2 0.9904 0.0096 0.2500
Ni1 0.1060 0.7893 0.0044
Ni2 0.1869 0.4928 0.1757
Ni3 0.2107 0.8940 0.4956
Ni4 0.3278 0.3739 0.9058
Ni5 0.3739 0.3278 0.4058
Ni6 0.4928 0.1869 0.6757
Ni7 0.5072 0.8131 0.3243
Ni8 0.6261 0.6722 0.5942
Ni9 0.6722 0.6261 0.0942
Ni10 0.7893 0.1060 0.5044
Ni11 0.8131 0.5072 0.8243
Ni12 0.8940 0.2107 0.9956
Rh1 0.1264 0.4960 0.6343
Rh2 0.4960 0.1264 0.1343
Rh3 0.5040 0.8736 0.8657
Rh4 0.8736 0.5040 0.3657

---

Record 6
# Sr4CePa3N8

A relaxed Sr4CePa3N8 crystal (PBE-GGA, the Alexandria database).

Properties
The calculation puts the energy relative to the elements, uncorrected at -1.338 eV/atom. As for the crystal system: trigonal. Its density is 7.9 g/cm³.

Cell lengths 7.3140, 7.3140, 7.3140 Å; angles 59.48, 59.48, 59.48 degrees
Fractional coordinates of all 16 atoms:
Sr1 0.0000 0.0000 0.0000
Sr2 0.0000 0.5000 0.5000
Sr3 0.5000 0.0000 0.5000
Sr4 0.5000 0.5000 0.0000
Ce1 0.5000 0.5000 0.5000
Pa1 0.0000 0.0000 0.5000
Pa2 0.0000 0.5000 0.0000
Pa3 0.5000 0.0000 0.0000
N1 0.2159 0.7398 0.7398
N2 0.2316 0.2316 0.2316
N3 0.2602 0.2602 0.7841
N4 0.2602 0.7841 0.2602
N5 0.7398 0.2159 0.7398
N6 0.7398 0.7398 0.2159
N7 0.7684 0.7684 0.7684
N8 0.7841 0.2602 0.2602